Material: Pm2TmBi
Method: DFT, PBE-GGA
State: relaxed

a b c (Å): 9.830 9.830 9.830
angles (deg): 24.24 24.24 24.24
Fractional positions:
1 Pm 0.000 0.000 0.000
2 Pm 0.190 0.190 0.190
3 Tm 0.762 0.762 0.762
4 Bi 0.595 0.595 0.595

E_tot   -18.539 eV/cell
SG   R3m
Offset from the most stable computed form   220 meV/atom